(1)
Here is crystalline ScTi2Ni2 at its relaxed geometry from Alexandria. Energies are from GGA-PBE.

Output
space group	P4/mbm
V	15.17	Å³ per atom
relative energy among the computed polymorphs	71	meV per atom
E_form	-0.22	eV/atom

abc: 7.2968 7.2968 2.8483
angles: 90.00 90.00 90.00
Closest atoms and distances in Å follow each position.
Element x y z (fractional)
Sc: 0.0000 0.0000 0.0000  4 Ti 2.78, 2 Sc 2.85
Sc: 0.5000 0.5000 0.0000  4 Ti 2.78, 2 Sc 2.85
Ti: 0.1504 0.3496 0.0000  6 Ni 2.57, 2 Sc 2.78, 2 Ti 2.85
Ti: 0.3496 0.8496 0.0000  6 Ni 2.57, 2 Sc 2.78, 2 Ti 2.85
Ti: 0.6504 0.1504 0.0000  6 Ni 2.57, 2 Sc 2.78, 2 Ti 2.85
Ti: 0.8496 0.6504 0.0000  6 Ni 2.57, 2 Sc 2.78, 2 Ti 2.85
Ni: 0.1420 0.6420 0.5000  6 Ti 2.57, 2 Ni 2.85
Ni: 0.3580 0.1420 0.5000  6 Ti 2.57, 2 Ni 2.85
Ni: 0.6420 0.8580 0.5000  6 Ti 2.57, 2 Ni 2.85
Ni: 0.8580 0.3580 0.5000  6 Ti 2.57, 2 Ni 2.85



(2)
Here is crystalline ScTiZnNi at its relaxed geometry from Alexandria. Energies are from GGA-PBE.

Output
space group	F-43m
V	15.98	Å³ per atom
E_form	-0.27	eV/atom

abc: 4.4876 4.4876 4.4876
angles: 60.00 60.00 60.00
Closest atoms and distances in Å follow each position.
Element x y z (fractional)
Sc: 0.0000 0.0000 0.0000  4 Ni 2.75, 4 Zn 2.75
Ti: 0.5000 0.5000 0.5000  4 Ni 2.75, 4 Zn 2.75
Zn: 0.7500 0.7500 0.7500  4 Ti 2.75, 4 Sc 2.75
Ni: 0.2500 0.2500 0.2500  4 Sc 2.75, 4 Ti 2.75



Q: Which of these has the highest E_form?
A: ScTi2Ni2